Record 1
# TbMgP2O8

TbMgP2O8 after structural relaxation (GGA-PBE, Alexandria).

## Properties
Space-group type ... P-3m1, No. 164
Density of states at the Fermi level ... 7.6 states/eV per cell
Raw formation energy ... -2522 meV per atom
Raw total energy ... -7.248 eV per atom
Crystal system ... trigonal

a b c (Å): 5.1423 5.1423 6.6403
angles (deg): 90.00 90.00 120.00
Fractional positions:
Tb1 0.0000 0.0000 0.0000
Mg1 0.0000 0.0000 0.5000
P1 0.3333 0.6667 0.2156
P2 0.6667 0.3333 0.7844
O1 0.1688 0.3376 0.2885
O2 0.1688 0.8312 0.2885
O3 0.3333 0.6667 0.9829
O4 0.3376 0.1688 0.7115
O5 0.6624 0.8312 0.2885
O6 0.6667 0.3333 0.0171
O7 0.8312 0.1688 0.7115
O8 0.8312 0.6624 0.7115


Record 2
# MgTcP2O

MgTcP2O after structural relaxation (GGA-PBE, Alexandria).

## Properties
Space-group type ... P4/mmm, No. 123
Density of states at the Fermi level ... 1.9 states/eV per cell
E above lowest polymorph ... 0.000 eV per atom
Raw formation energy ... -279 meV per atom
Raw total energy ... -5.827 eV per atom
Crystal system ... tetragonal

a b c (Å): 4.8079 4.8079 3.7165
angles (deg): 90.00 90.00 90.00
Fractional positions:
Mg1 0.0000 0.0000 0.0000
Tc1 0.5000 0.5000 0.5000
P1 0.0000 0.5000 0.5000
P2 0.5000 0.0000 0.5000
O1 0.5000 0.5000 0.0000


Record 3
# MgTcP2O

MgTcP2O after structural relaxation (GGA-PBE, Alexandria).

## Properties
Space-group type ... P4/mmm, No. 123
Density of states at the Fermi level ... 4.3 states/eV per cell
E above lowest polymorph ... 0.932 eV per atom
Raw formation energy ... 653 meV per atom
Raw total energy ... -4.895 eV per atom
Crystal system ... tetragonal

a b c (Å): 4.8546 4.8546 3.5943
angles (deg): 90.00 90.00 90.00
Fractional positions:
Mg1 0.0000 0.0000 0.0000
Tc1 0.5000 0.5000 0.5000
P1 0.0000 0.5000 0.0000
P2 0.5000 0.0000 0.0000
O1 0.0000 0.0000 0.5000


Record 4
# MgTeP2O

MgTeP2O after structural relaxation (GGA-PBE, Alexandria).

## Properties
Space-group type ... P4/mmm, No. 123
Density of states at the Fermi level ... 3.0 states/eV per cell
E above lowest polymorph ... 0.093 eV per atom
Raw formation energy ... 289 meV per atom
Raw total energy ... -3.814 eV per atom
Crystal system ... tetragonal

a b c (Å): 5.1654 5.1654 3.9437
angles (deg): 90.00 90.00 90.00
Fractional positions:
Mg1 0.0000 0.0000 0.0000
Te1 0.5000 0.5000 0.5000
P1 0.0000 0.5000 0.5000
P2 0.5000 0.0000 0.5000
O1 0.5000 0.5000 0.0000


Number 1: volume 12.672 A^3/atom. Number 2: volume 17.182 A^3/atom. Number 3: volume 16.941 A^3/atom. Number 4: volume 21.045 A^3/atom.